P.
The following is a meta-GGA SCAN calculation of a PBEsol-optimized structure of K2Si4O9, from Alexandria.

a = 6.6190 Å, b = 6.6190 Å, c = 9.5784 Å
α = 90.00°, β = 90.00°, γ = 120.00°
Positions (direct):
K  0.3333  0.6667  0.0569
K  0.3333  0.6667  0.4431
K  0.6667  0.3333  0.5569
K  0.6667  0.3333  0.9431
Si  0.0000  0.0000  0.0000
Si  0.0000  0.0000  0.5000
Si  0.1300  0.7656  0.7500
Si  0.2344  0.3643  0.7500
Si  0.3643  0.1300  0.2500
Si  0.6357  0.8700  0.7500
Si  0.7656  0.6357  0.2500
Si  0.8700  0.2344  0.2500
O  0.0189  0.7877  0.6056
O  0.0189  0.7877  0.8944
O  0.0715  0.4893  0.7500
O  0.2123  0.2312  0.6056
O  0.2123  0.2312  0.8944
O  0.2312  0.0189  0.1056
O  0.2312  0.0189  0.3944
O  0.4178  0.9285  0.7500
O  0.4893  0.4178  0.2500
O  0.5107  0.5822  0.7500
O  0.5822  0.0715  0.2500
O  0.7688  0.9811  0.6056
O  0.7688  0.9811  0.8944
O  0.7877  0.7688  0.1056
O  0.7877  0.7688  0.3944
O  0.9285  0.5107  0.2500
O  0.9811  0.2123  0.1056
O  0.9811  0.2123  0.3944

Summary:
Volume (Å³ per cell): 363



Q.
The following is a meta-GGA SCAN calculation of a PBEsol-optimized structure of K2Si4O9, from Alexandria.

a = 4.9650 Å, b = 8.3912 Å, c = 12.2420 Å
α = 70.52°, β = 89.84°, γ = 88.69°
Positions (direct):
K  0.2342  0.4331  0.1352
K  0.2541  0.9001  0.6577
K  0.7459  0.0999  0.3423
K  0.7658  0.5669  0.8648
Si  0.2075  0.9407  0.1459
Si  0.2101  0.7039  0.4019
Si  0.2788  0.3155  0.4449
Si  0.2944  0.8300  0.9383
Si  0.7056  0.1700  0.0617
Si  0.7212  0.6845  0.5551
Si  0.7899  0.2961  0.5981
Si  0.7925  0.0593  0.8541
O  0.0946  0.2534  0.5648
O  0.1052  0.9940  0.8601
O  0.2277  0.5213  0.3837
O  0.2332  0.2156  0.3585
O  0.2434  0.8053  0.0770
O  0.2511  0.6634  0.9089
O  0.2907  0.8481  0.2810
O  0.3937  0.1041  0.0911
O  0.4081  0.7144  0.5045
O  0.5919  0.2856  0.4955
O  0.6063  0.8959  0.9089
O  0.7093  0.1519  0.7190
O  0.7489  0.3366  0.0911
O  0.7566  0.1947  0.9230
O  0.7668  0.7844  0.6415
O  0.7723  0.4787  0.6163
O  0.8948  0.0060  0.1399
O  0.9054  0.7466  0.4352

Summary:
Volume (Å³ per cell): 481



In terms of stability, P leads; the second structure lies 0.006 eV/atom higher.



P.
The following is a meta-GGA SCAN calculation of a PBEsol-optimized structure of K2Sn2O3, from Alexandria.

a = 5.8403 Å, b = 5.8403 Å, c = 5.8403 Å
α = 62.08°, β = 62.08°, γ = 62.08°
Positions (direct):
K  0.0000  0.0000  0.0000
K  0.5000  0.5000  0.5000
Sn  0.2432  0.2432  0.2432
Sn  0.7568  0.7568  0.7568
O  0.0000  0.0000  0.5000
O  0.0000  0.5000  0.0000
O  0.5000  0.0000  0.0000

Summary:
Volume (Å³ per cell): 147



Q.
The following is a meta-GGA SCAN calculation of a PBEsol-optimized structure of K2Sn2O3, from Alexandria.

a = 7.1984 Å, b = 7.1984 Å, c = 7.1984 Å
α = 109.47°, β = 109.47°, γ = 109.47°
Positions (direct):
K  0.0000  0.4796  0.5000
K  0.0204  0.0204  0.0204
K  0.4796  0.5000  0.0000
K  0.5000  0.0000  0.4796
Sn  0.0000  0.0051  0.5000
Sn  0.0051  0.5000  0.0000
Sn  0.4949  0.4949  0.4949
Sn  0.5000  0.0000  0.0051
O  0.2269  0.7500  0.9769
O  0.2500  0.5231  0.2731
O  0.2731  0.2500  0.5231
O  0.5231  0.2731  0.2500
O  0.7500  0.9769  0.2269
O  0.9769  0.2269  0.7500

Summary:
Volume (Å³ per cell): 287



In terms of stability, Q leads; the second structure lies 0.007 eV/atom higher.



P.
The following is a meta-GGA SCAN calculation of a PBEsol-optimized structure of K4TiO4, from Alexandria.

a = 6.3442 Å, b = 6.3880 Å, c = 9.4845 Å
α = 72.17°, β = 79.99°, γ = 67.00°
Positions (direct):
K  0.2236  0.4611  0.1186
K  0.2473  0.9172  0.3381
K  0.2491  0.2691  0.5289
K  0.2757  0.0129  0.9377
K  0.7243  0.9871  0.0623
K  0.7509  0.7309  0.4711
K  0.7527  0.0828  0.6619
K  0.7764  0.5389  0.8814
Ti  0.2717  0.6570  0.7475
Ti  0.7283  0.3430  0.2525
O  0.0451  0.7891  0.8769
O  0.1251  0.6676  0.5939
O  0.4488  0.3563  0.8451
O  0.4529  0.8375  0.6912
O  0.5471  0.1625  0.3088
O  0.5512  0.6437  0.1549
O  0.8749  0.3324  0.4061
O  0.9549  0.2109  0.1231

Summary:
Volume (Å³ per cell): 336



Q.
The following is a meta-GGA SCAN calculation of a PBEsol-optimized structure of K4TiO4, from Alexandria.

a = 10.4462 Å, b = 6.5717 Å, c = 10.6387 Å
α = 90.00°, β = 111.40°, γ = 90.00°
Positions (direct):
K  0.0570  0.0860  0.1929
K  0.0570  0.4140  0.6929
K  0.1671  0.6022  0.0862
K  0.1671  0.8978  0.5862
K  0.3674  0.6723  0.8893
K  0.3674  0.8277  0.3893
K  0.4341  0.2084  0.7992
K  0.4341  0.2916  0.2992
K  0.5659  0.7084  0.7008
K  0.5659  0.7916  0.2008
K  0.6326  0.1723  0.6107
K  0.6326  0.3277  0.1107
K  0.8329  0.1022  0.4138
K  0.8329  0.3978  0.9138
K  0.9430  0.5860  0.3071
K  0.9430  0.9140  0.8071
Ti  0.2440  0.1356  0.9928
Ti  0.2440  0.3644  0.4928
Ti  0.7560  0.6356  0.5072
Ti  0.7560  0.8644  0.0072
O  0.0753  0.2398  0.9696
O  0.0753  0.2602  0.4696
O  0.2285  0.0049  0.8364
O  0.2285  0.4951  0.3364
O  0.3047  0.5358  0.6404
O  0.3047  0.9642  0.1404
O  0.3654  0.1513  0.5258
O  0.3654  0.3487  0.0258
O  0.6346  0.6513  0.9742
O  0.6346  0.8487  0.4742
O  0.6953  0.0358  0.8596
O  0.6953  0.4642  0.3596
O  0.7715  0.5049  0.6636
O  0.7715  0.9951  0.1636
O  0.9247  0.7398  0.5304
O  0.9247  0.7602  0.0304

Summary:
Volume (Å³ per cell): 680



In terms of stability, P leads; the second structure lies 0.008 eV/atom higher.



P.
The following is a meta-GGA SCAN calculation of a PBEsol-optimized structure of KOs3, from Alexandria.

a = 2.7255 Å, b = 2.7255 Å, c = 9.3984 Å
α = 90.00°, β = 90.00°, γ = 90.00°
Positions (direct):
K  0.0000  0.0000  0.0000
Os  0.0000  0.0000  0.5000
Os  0.5000  0.5000  0.3053
Os  0.5000  0.5000  0.6947

Summary:
Volume (Å³ per cell): 70



Q.
The following is a meta-GGA SCAN calculation of a PBEsol-optimized structure of KOs3, from Alexandria.

a = 2.7342 Å, b = 2.7342 Å, c = 30.5274 Å
α = 90.00°, β = 90.00°, γ = 120.00°
Positions (direct):
K  0.0000  0.0000  0.0000
K  0.3333  0.6667  0.6667
K  0.6667  0.3333  0.3333
Os  0.0000  0.0000  0.2367
Os  0.0000  0.0000  0.5000
Os  0.0000  0.0000  0.7633
Os  0.3333  0.6667  0.1667
Os  0.3333  0.6667  0.4300
Os  0.3333  0.6667  0.9033
Os  0.6667  0.3333  0.0967
Os  0.6667  0.3333  0.5700
Os  0.6667  0.3333  0.8333

Summary:
Volume (Å³ per cell): 198



R.
The following is a meta-GGA SCAN calculation of a PBEsol-optimized structure of KOs3, from Alexandria.

a = 5.8598 Å, b = 8.4533 Å, c = 2.5815 Å
α = 90.00°, β = 90.00°, γ = 90.00°
Positions (direct):
K  0.0000  0.0000  0.0000
K  0.5000  0.5000  0.0000
Os  0.0000  0.5000  0.0000
Os  0.2500  0.2500  0.5000
Os  0.2500  0.7500  0.5000
Os  0.5000  0.0000  0.0000
Os  0.7500  0.2500  0.5000
Os  0.7500  0.7500  0.5000

Summary:
Volume (Å³ per cell): 128



In terms of stability, Q leads; the second structure lies 0.125 eV/atom higher.



P.
The following is a meta-GGA SCAN calculation of a PBEsol-optimized structure of KPOs2, from Alexandria.

a = 6.1657 Å, b = 6.1657 Å, c = 6.1657 Å
α = 90.00°, β = 90.00°, γ = 90.00°
Positions (direct):
K  0.0000  0.0000  0.0000
K  0.0000  0.5000  0.5000
K  0.5000  0.0000  0.5000
K  0.5000  0.5000  0.0000
P  0.0000  0.0000  0.5000
P  0.0000  0.5000  0.0000
P  0.5000  0.0000  0.0000
P  0.5000  0.5000  0.5000
Os  0.2500  0.2500  0.2500
Os  0.2500  0.2500  0.7500
Os  0.2500  0.7500  0.2500
Os  0.2500  0.7500  0.7500
Os  0.7500  0.2500  0.2500
Os  0.7500  0.2500  0.7500
Os  0.7500  0.7500  0.2500
Os  0.7500  0.7500  0.7500

Summary:
Volume (Å³ per cell): 234



Q.
The following is a meta-GGA SCAN calculation of a PBEsol-optimized structure of KPOs2, from Alexandria.

a = 3.8194 Å, b = 3.8194 Å, c = 9.0368 Å
α = 90.00°, β = 90.00°, γ = 90.00°
Positions (direct):
K  0.0000  0.0000  0.0000
K  0.5000  0.5000  0.5000
P  0.0000  0.0000  0.5000
P  0.5000  0.5000  0.0000
Os  0.0000  0.5000  0.2500
Os  0.0000  0.5000  0.7500
Os  0.5000  0.0000  0.2500
Os  0.5000  0.0000  0.7500

Summary:
Volume (Å³ per cell): 132



In terms of stability, Q leads; the second structure lies 0.021 eV/atom higher.



P.
The following is a meta-GGA SCAN calculation of a PBEsol-optimized structure of K2POs, from Alexandria.

a = 3.7220 Å, b = 5.5896 Å, c = 10.4374 Å
α = 90.00°, β = 90.00°, γ = 90.00°
Positions (direct):
K  0.0000  0.0000  0.0000
K  0.0000  0.5000  0.1901
K  0.5000  0.0000  0.6901
K  0.5000  0.5000  0.5000
P  0.0000  0.0000  0.4151
P  0.5000  0.5000  0.9151
Os  0.0000  0.5000  0.8075
Os  0.5000  0.0000  0.3075

Summary:
Volume (Å³ per cell): 217



Q.
The following is a meta-GGA SCAN calculation of a PBEsol-optimized structure of K2POs, from Alexandria.

a = 6.8226 Å, b = 6.8226 Å, c = 6.8226 Å
α = 90.00°, β = 90.00°, γ = 90.00°
Positions (direct):
K  0.0000  0.0000  0.0000
K  0.0000  0.5000  0.5000
K  0.2500  0.2500  0.2500
K  0.2500  0.7500  0.7500
K  0.5000  0.0000  0.5000
K  0.5000  0.5000  0.0000
K  0.7500  0.2500  0.7500
K  0.7500  0.7500  0.2500
P  0.0000  0.0000  0.5000
P  0.0000  0.5000  0.0000
P  0.5000  0.0000  0.0000
P  0.5000  0.5000  0.5000
Os  0.2500  0.2500  0.7500
Os  0.2500  0.7500  0.2500
Os  0.7500  0.2500  0.2500
Os  0.7500  0.7500  0.7500

Summary:
Volume (Å³ per cell): 318



In terms of stability, P leads; the second structure lies 0.909 eV/atom higher.



P.
The following is a meta-GGA SCAN calculation of a PBEsol-optimized structure of KOs2Pt, from Alexandria.

a = 2.6100 Å, b = 4.2240 Å, c = 7.2859 Å
α = 90.00°, β = 90.00°, γ = 90.00°
Positions (direct):
K  0.0000  0.0000  0.0000
Os  0.5000  0.5000  0.3376
Os  0.5000  0.5000  0.6624
Pt  0.0000  0.0000  0.5000

Summary:
Volume (Å³ per cell): 80



Q.
The following is a meta-GGA SCAN calculation of a PBEsol-optimized structure of KOs2Pt, from Alexandria.

a = 2.6574 Å, b = 5.1388 Å, c = 10.3890 Å
α = 90.00°, β = 90.00°, γ = 90.00°
Positions (direct):
K  0.0000  0.0000  0.0000
K  0.5000  0.5000  0.5000
Os  0.0000  0.0000  0.4932
Os  0.0000  0.5000  0.7892
Os  0.5000  0.0000  0.2892
Os  0.5000  0.5000  0.9932
Pt  0.0000  0.5000  0.2172
Pt  0.5000  0.0000  0.7172

Summary:
Volume (Å³ per cell): 142



In terms of stability, P leads; the second structure lies 0.088 eV/atom higher.



P.
The following is a meta-GGA SCAN calculation of a PBEsol-optimized structure of KRe2Os, from Alexandria.

a = 2.7054 Å, b = 2.7054 Å, c = 9.7692 Å
α = 90.00°, β = 90.00°, γ = 90.00°
Positions (direct):
K  0.0000  0.0000  0.0000
Re  0.5000  0.5000  0.3058
Re  0.5000  0.5000  0.6942
Os  0.0000  0.0000  0.5000

Summary:
Volume (Å³ per cell): 72



Q.
The following is a meta-GGA SCAN calculation of a PBEsol-optimized structure of KRe2Os, from Alexandria.

a = 2.7590 Å, b = 2.7590 Å, c = 9.4624 Å
α = 90.00°, β = 90.00°, γ = 90.00°
Positions (direct):
K  0.0000  0.0000  0.0000
Re  0.0000  0.0000  0.4823
Re  0.5000  0.5000  0.6851
Os  0.5000  0.5000  0.2992

Summary:
Volume (Å³ per cell): 72



In terms of stability, Q leads; the second structure lies 0.056 eV/atom higher.



P.
The following is a meta-GGA SCAN calculation of a PBEsol-optimized structure of KOs2Ru, from Alexandria.

a = 2.6721 Å, b = 3.7714 Å, c = 7.7351 Å
α = 90.00°, β = 90.16°, γ = 90.00°
Positions (direct):
K  0.0000  0.0000  0.0000
Os  0.0022  0.0000  0.5040
Os  0.5033  0.5000  0.6587
Ru  0.5009  0.5000  0.3359

Summary:
Volume (Å³ per cell): 78



Q.
The following is a meta-GGA SCAN calculation of a PBEsol-optimized structure of KOs2Ru, from Alexandria.

a = 6.2873 Å, b = 6.2873 Å, c = 6.2873 Å
α = 90.00°, β = 90.00°, γ = 90.00°
Positions (direct):
K  0.0000  0.0000  0.0000
K  0.0000  0.5000  0.5000
K  0.5000  0.0000  0.5000
K  0.5000  0.5000  0.0000
Os  0.2500  0.2500  0.2500
Os  0.2500  0.2500  0.7500
Os  0.2500  0.7500  0.2500
Os  0.2500  0.7500  0.7500
Os  0.7500  0.2500  0.2500
Os  0.7500  0.2500  0.7500
Os  0.7500  0.7500  0.2500
Os  0.7500  0.7500  0.7500
Ru  0.0000  0.0000  0.5000
Ru  0.0000  0.5000  0.0000
Ru  0.5000  0.0000  0.0000
Ru  0.5000  0.5000  0.5000

Summary:
Volume (Å³ per cell): 249



R.
The following is a meta-GGA SCAN calculation of a PBEsol-optimized structure of KOs2Ru, from Alexandria.

a = 2.6643 Å, b = 4.8049 Å, c = 10.3038 Å
α = 90.00°, β = 90.00°, γ = 90.00°
Positions (direct):
K  0.0000  0.0000  0.0000
K  0.5000  0.5000  0.5000
Os  0.0000  0.5000  0.2166
Os  0.0000  0.5000  0.7834
Os  0.5000  0.0000  0.2834
Os  0.5000  0.0000  0.7166
Ru  0.0000  0.0000  0.5000
Ru  0.5000  0.5000  0.0000

Summary:
Volume (Å³ per cell): 132



In terms of stability, P leads; the second structure lies 0.317 eV/atom higher.



P.
The following is a meta-GGA SCAN calculation of a PBEsol-optimized structure of K2ScOs, from Alexandria.

a = 3.9955 Å, b = 3.9955 Å, c = 11.8159 Å
α = 90.00°, β = 90.00°, γ = 90.00°
Positions (direct):
K  0.0000  0.5000  0.2500
K  0.0000  0.5000  0.7500
K  0.5000  0.0000  0.2500
K  0.5000  0.0000  0.7500
Sc  0.0000  0.0000  0.0000
Sc  0.5000  0.5000  0.5000
Os  0.0000  0.0000  0.5000
Os  0.5000  0.5000  0.0000

Summary:
Volume (Å³ per cell): 189



Q.
The following is a meta-GGA SCAN calculation of a PBEsol-optimized structure of K2ScOs, from Alexandria.

a = 3.2430 Å, b = 6.1341 Å, c = 4.6649 Å
α = 90.00°, β = 91.99°, γ = 90.00°
Positions (direct):
K  0.2462  0.0000  0.2576
K  0.7538  0.0000  0.7423
Sc  0.5000  0.5000  0.0000
Os  0.0000  0.5000  0.5000

Summary:
Volume (Å³ per cell): 93



In terms of stability, Q leads; the second structure lies 0.025 eV/atom higher.



P.
The following is a meta-GGA SCAN calculation of a PBEsol-optimized structure of KScOs2, from Alexandria.

a = 2.7537 Å, b = 2.7537 Å, c = 9.6325 Å
α = 90.00°, β = 90.00°, γ = 90.00°
Positions (direct):
K  0.0000  0.0000  0.0000
Sc  0.0000  0.0000  0.5000
Os  0.5000  0.5000  0.2876
Os  0.5000  0.5000  0.7124

Summary:
Volume (Å³ per cell): 73



Q.
The following is a meta-GGA SCAN calculation of a PBEsol-optimized structure of KScOs2, from Alexandria.

a = 3.0272 Å, b = 4.6605 Å, c = 9.8990 Å
α = 90.00°, β = 90.00°, γ = 90.00°
Positions (direct):
K  0.0000  0.0000  0.0000
K  0.5000  0.5000  0.0000
Sc  0.0000  0.0000  0.5000
Sc  0.5000  0.5000  0.5000
Os  0.0000  0.5000  0.2831
Os  0.0000  0.5000  0.7169
Os  0.5000  0.0000  0.2831
Os  0.5000  0.0000  0.7169

Summary:
Volume (Å³ per cell): 140



In terms of stability, Q leads; the second structure lies 0.181 eV/atom higher.